The following is a DFT calculation (GGA-PBE) of a geometry-optimized La12TbSm5 structure.

a b c (Å): 11.0333 11.1034 6.4136
angles (deg): 107.07 90.00 60.20
With the nearest neighbours (Å) after each atom.
Atoms (fractional coordinates):
La 0.8313 0.9999 0.4999  3 Sm 3.66-3.71, 7 La 3.67-3.72, 2 Tb 3.71
La 0.1687 0.0001 0.5001  3 Sm 3.66-3.71, 7 La 3.67-3.72, 2 Tb 3.71
La 0.6705 0.9999 0.9999  1 Tb 3.64, 7 La 3.66-3.76, 4 Sm 3.72
La 0.3295 0.0001 0.0001  1 Tb 3.64, 7 La 3.66-3.76, 4 Sm 3.72
La 0.3358 0.6670 0.9998  4 Sm 3.65-3.72, 7 La 3.66-3.74, 1 Tb 3.71
La 0.9971 0.6672 0.0000  4 Sm 3.65-3.72, 7 La 3.66-3.74, 1 Tb 3.71
La 0.0029 0.3328 0.0000  4 Sm 3.65-3.72, 7 La 3.66-3.74, 1 Tb 3.71
La 0.6642 0.3330 0.0002  4 Sm 3.65-3.72, 7 La 3.66-3.74, 1 Tb 3.71
La 0.5030 0.3334 0.5003  5 Sm 3.64-3.72, 7 La 3.67-3.74
La 0.8362 0.6668 0.4998  5 Sm 3.65-3.72, 7 La 3.67-3.74
La 0.1638 0.3332 0.5002  5 Sm 3.65-3.72, 7 La 3.67-3.74
La 0.4970 0.6666 0.4997  5 Sm 3.64-3.72, 7 La 3.67-3.74
Tb 0.0000 0.0000 0.0000  10 La 3.64-3.71, 2 Sm 3.68
Sm 0.5000 0.0000 0.5000  10 La 3.66-3.72, 2 Sm 3.69
Sm 0.1664 0.6673 0.5011  10 La 3.64-3.72, 1 Tb 3.68, 1 Sm 3.70
Sm 0.8336 0.3327 0.4989  10 La 3.64-3.72, 1 Tb 3.68, 1 Sm 3.70
Sm 0.6666 0.6667 0.9995  10 La 3.65-3.72, 2 Sm 3.69-3.70
Sm 0.3334 0.3333 0.0005  10 La 3.65-3.72, 2 Sm 3.69-3.70

Results
Calculated density in g cm⁻³: 6.7
ΔE_f in eV/atom: 0.019
Density of states at the Fermi level in states/eV per cell: 32.37
Total moment in μB/atom: 0.0000